CoSiP2 after structural relaxation. Source: the Alexandria database, functional PBE.

## Properties
E_form (uncorrected)   0.149 eV/atom
D(E_F)   4.4 states/eV per cell
Total DFT energy (no corrections)   -5.688 eV per atom
Crystal system   orthorhombic

a b c (Å): 3.6121 3.7524 8.6858
angles (deg): 90.00 90.00 90.00
Closest atoms and distances in Å follow each position.
Space group Cmm2 (No. 35)
Asymmetric unit:
Co1 0.0000 0.0000 0.0000 x2  4 P 2.32-2.38, 4 Si 2.43-2.48
Si1 0.0000 0.5000 0.8135 x2  4 Co 2.43-2.48, 4 Si 2.60, 2 P 2.69
P1 0.0000 0.0000 0.5840 x2  4 P 2.60, 4 Si 2.69-2.74
P2 0.0000 0.5000 0.1683 x2  4 Co 2.32-2.38

---

Co2SiP after structural relaxation. Source: the Alexandria database, functional PBE.

## Properties
E_form (uncorrected)   -0.197 eV/atom
D(E_F)   2.6 states/eV per cell
Total DFT energy (no corrections)   -6.458 eV per atom
Crystal system   tetragonal

a b c (Å): 3.3319 3.3319 7.8356
angles (deg): 90.00 90.00 90.00
Closest atoms and distances in Å follow each position.
Space group I-4m2 (No. 119)
Asymmetric unit:
Co1 0.0000 0.0000 0.0000 x2  4 Si 2.36, 4 Co 2.57, 4 P 2.57
Co2 0.0000 0.5000 0.2500 x2  4 P 2.36, 4 Co 2.57, 4 Si 2.57
Si1 0.0000 0.0000 0.5000 x2  8 Co 2.36-2.57, 4 P 2.57
P1 0.0000 0.5000 0.7500 x2  8 Co 2.36-2.57, 4 Si 2.57

---

CoSiP4 after structural relaxation. Source: the Alexandria database, functional PBE.

## Properties
E_form (uncorrected)   0.847 eV/atom
D(E_F)   17.9 states/eV per cell
Total DFT energy (no corrections)   -4.848 eV per atom
Crystal system   cubic

a b c (Å): 7.0272 7.0272 7.0272
angles (deg): 90.00 90.00 90.00
Closest atoms and distances in Å follow each position.
Space group F-43m (No. 216)
Asymmetric unit:
Co1 0.0000 0.0000 0.0000 x4  12 P 2.92, 4 Si 3.04
Si1 0.2500 0.2500 0.2500 x4  12 P 2.91, 4 Co 3.04
P1 0.1242 0.1242 0.6242 x16  6 P 2.47-2.50

---

CoSiP2 after structural relaxation. Source: the Alexandria database, functional PBE.

## Properties
E_form (uncorrected)   -0.008 eV/atom
D(E_F)   5.0 states/eV per cell
Total DFT energy (no corrections)   -5.845 eV per atom
Crystal system   monoclinic

a b c (Å): 5.9996 3.3393 5.7483
angles (deg): 90.00 109.39 90.00
Closest atoms and distances in Å follow each position.
Space group C2/m (No. 12)
Asymmetric unit:
Co1 0.0000 0.0000 0.0000 x2  6 P 2.32
Si1 0.0000 0.5000 0.5000 x2  6 P 2.45-2.48
P1 0.2449 0.5000 0.2271 x4  3 Co 2.32, 3 Si 2.45-2.48

---

CoSi3P after structural relaxation. Source: the Alexandria database, functional PBE.

## Properties
E_form (uncorrected)   1.135 eV/atom
D(E_F)   7.5 states/eV per cell
Total DFT energy (no corrections)   -4.622 eV per atom
Energy relative to the lowest polymorph listed for this composition   790.8 meV per atom
Crystal system   cubic

a b c (Å): 4.4265 4.4265 4.4265
angles (deg): 90.00 90.00 90.00
Closest atoms and distances in Å follow each position.
Space group Pm-3m (No. 221)
Asymmetric unit:
Co1 0.0000 0.0000 0.0000 x1  12 Si 3.13
Si1 0.0000 0.5000 0.5000 x3  2 P 2.21
P1 0.5000 0.5000 0.5000 x1  6 Si 2.21

---

CoSiP2 after structural relaxation. Source: the Alexandria database, functional PBE.

## Properties
E_form (uncorrected)   0.115 eV/atom
D(E_F)   8.5 states/eV per cell
Total DFT energy (no corrections)   -5.722 eV per atom
Crystal system   tetragonal

a b c (Å): 4.7369 4.7369 4.8482
angles (deg): 90.00 90.00 90.00
Closest atoms and distances in Å follow each position.
Space group I4/mmm (No. 139)
Asymmetric unit:
Co1 0.0000 0.0000 0.0000 x2  4 P 2.37, 2 Si 2.42
Si1 0.0000 0.0000 0.5000 x2  4 P 2.37, 2 Co 2.42
P1 0.0000 0.5000 0.0000 x4  2 Co 2.37, 2 Si 2.37, 2 P 2.42

---

CoSiP2 after structural relaxation. Source: the Alexandria database, functional PBE.

## Properties
E_form (uncorrected)   0.086 eV/atom
D(E_F)   1.9 states/eV per cell
Total DFT energy (no corrections)   -5.751 eV per atom
Crystal system   monoclinic

a b c (Å): 2.6244 3.4190 6.0243
angles (deg): 90.00 91.22 90.00
Closest atoms and distances in Å follow each position.
Space group Pm (No. 6)
Asymmetric unit:
Co1 0.0000 0.0000 0.0000 x1  4 Si 2.28-2.36, 3 P 2.36-2.47
Si1 0.5337 0.5000 0.1438 x1  4 Co 2.28-2.36, 2 P 2.46
P1 0.8589 0.0000 0.4045 x1  2 Si 2.46, 1 Co 2.47, 4 P 2.62
P2 0.9476 0.5000 0.7315 x1  2 Co 2.36, 4 P 2.62

---

CoSiP2 after structural relaxation. Source: the Alexandria database, functional PBE.

## Properties
E_form (uncorrected)   0.105 eV/atom
D(E_F)   3.3 states/eV per cell
Total DFT energy (no corrections)   -5.732 eV per atom
Crystal system   tetragonal

a b c (Å): 3.0355 3.0355 6.3878
angles (deg): 90.00 90.00 90.00
Closest atoms and distances in Å follow each position.
Space group P4mm (No. 99)
Asymmetric unit:
Co1 0.0000 0.0000 0.0000 x1  5 P 2.41-2.42, 4 Si 2.54
Si1 0.5000 0.5000 0.7869 x1  5 P 2.40-2.45, 4 Co 2.54
P1 0.0000 0.0000 0.6204 x1  4 Si 2.40, 1 Co 2.42
P2 0.5000 0.5000 0.1702 x1  4 Co 2.41, 1 Si 2.45

---

Q: What is the formula in the second record?
A: Co2SiP